Here is a relaxed KCe2Dy2O7 crystal from Alexandria via LeMat-Bulk. Energies are from PBE-GGA.

Properties
- ΔE_f (raw): -3.109 eV/atom

Cell lengths 10.364, 10.364, 4.596 Å; angles 102.80, 102.80, 25.63 degrees
Atoms (fractional coordinates):
K (0.000, 0.000, 0.000)
Ce (0.386, 0.386, 0.379)
Ce (0.608, 0.608, 0.601)
Dy (0.247, 0.247, 0.740)
Dy (0.747, 0.747, 0.240)
O (0.132, 0.132, 0.625)
O (0.260, 0.260, 0.253)
O (0.361, 0.361, 0.855)
O (0.497, 0.497, 0.485)
O (0.632, 0.632, 0.125)
O (0.733, 0.733, 0.727)
O (0.862, 0.862, 0.355)

Here is a relaxed CsIn2Rh2 crystal from Alexandria via LeMat-Bulk. Energies are from PBE-GGA.

Properties
- E_form: 0.101 eV per atom
- Energy above the most stable polymorph in this dataset: 109 meV/atom

Cell lengths 8.464, 8.464, 3.124 Å; angles 90.00, 90.00, 90.00 degrees
Atoms (fractional coordinates):
Cs (0.000, 0.000, 0.000)
Cs (0.500, 0.500, 0.000)
In (0.135, 0.365, 0.000)
In (0.365, 0.865, 0.000)
In (0.635, 0.135, 0.000)
In (0.865, 0.635, 0.000)
Rh (0.147, 0.647, 0.500)
Rh (0.353, 0.147, 0.500)
Rh (0.647, 0.853, 0.500)
Rh (0.853, 0.353, 0.500)

Here is a relaxed V3Co3Ni5 crystal from Alexandria via LeMat-Bulk. Energies are from PBE-GGA.

Properties
- E_form: 0.267 eV per atom

Cell lengths 7.652, 7.652, 2.700 Å; angles 90.00, 90.00, 120.00 degrees
Atoms (fractional coordinates):
V (0.000, 0.596, 0.000)
V (0.404, 0.404, 0.000)
V (0.596, 0.000, 0.000)
Co (0.000, 0.826, 0.500)
Co (0.174, 0.174, 0.500)
Co (0.826, 0.000, 0.500)
Ni (0.000, 0.350, 0.500)
Ni (0.333, 0.667, 0.500)
Ni (0.350, 0.000, 0.500)
Ni (0.650, 0.650, 0.500)
Ni (0.667, 0.333, 0.500)

Here is a relaxed Ca2NdScS4 crystal from Alexandria via LeMat-Bulk. Energies are from PBE-GGA.

Properties
- ΔE_f (raw): -1.988 eV/atom

Cell lengths 6.813, 3.933, 6.929 Å; angles 90.00, 109.11, 90.00 degrees
Atoms (fractional coordinates):
Ca (0.000, 0.000, 0.000)
Ca (0.500, 0.500, 0.000)
Nd (0.000, 0.500, 0.500)
Sc (0.500, 0.000, 0.500)
S (0.264, 0.000, 0.749)
S (0.267, 0.500, 0.261)
S (0.733, 0.500, 0.739)
S (0.736, 0.000, 0.251)

no.,magnetization (μB per formula unit)
1,0.8
2,0.0
3,0.0
4,0.0